1.
First-principles (PBE-GGA) data for an optimized crystal structure of GdTlInPt, as listed in Alexandria via LeMat-Bulk.

Structure (POSCAR):
```
GdTlInPt
1.0
5.056 0.000 0.000
2.528 4.378 0.000
2.528 1.459 4.128
Tl In Gd Pt
1 1 1 1
Direct
0.000 0.000 0.000
0.250 0.250 0.250
0.750 0.750 0.750
0.500 0.500 0.500
```

Computed properties:
* total energy: -6.802 eV per atom
* magnetic moment: 7.1 Bohr magnetons per cell
* V: 91.4 Å³/f.u.


2.
First-principles (PBE-GGA) data for an optimized crystal structure of Cd6Ag12Pt, as listed in Alexandria via LeMat-Bulk.

Structure (POSCAR):
```
Cd6Ag12Pt
1.0
-3.019 -6.307 1.517
6.137 -2.203 2.946
-2.141 2.573 6.325
Ag Cd Pt
12 6 1
Direct
0.446 0.795 0.528
0.472 0.554 0.205
0.045 0.156 0.372
0.554 0.205 0.472
0.528 0.446 0.795
0.628 0.955 0.844
0.844 0.628 0.955
0.955 0.844 0.628
0.795 0.528 0.446
0.205 0.472 0.554
0.156 0.372 0.045
0.372 0.045 0.156
0.264 0.726 0.885
0.274 0.115 0.736
0.885 0.264 0.726
0.726 0.885 0.264
0.115 0.736 0.274
0.736 0.274 0.115
0.000 0.000 0.000
```

Computed properties:
* total energy: -2.437 eV per atom
* magnetic moment: 0.0 Bohr magnetons per cell
* V: 366.4 Å³/f.u.


3.
First-principles (PBE-GGA) data for an optimized crystal structure of Sr2ReTe, as listed in Alexandria via LeMat-Bulk.

Structure (POSCAR):
```
Sr2ReTe
1.0
4.398 0.000 0.000
0.000 4.785 0.000
0.000 2.391 5.904
Te Sr Re
1 2 1
Direct
0.000 0.686 0.504
0.500 0.270 0.334
0.000 0.983 0.908
0.500 0.560 0.754
```

Computed properties:
* total energy: -4.617 eV per atom
* magnetic moment: 1.0 Bohr magnetons per cell
* V: 124.2 Å³/f.u.
* polymorph energy (0 for the lowest one): 0 meV/atom
* formation energy without anion corrections: 0.122 eV per atom


4.
First-principles (PBE-GGA) data for an optimized crystal structure of ZrCd3Mo, as listed in Alexandria via LeMat-Bulk.

Structure (POSCAR):
```
ZrCd3Mo
1.0
5.104 0.000 0.000
0.000 5.104 0.000
0.000 0.000 5.104
Cd Zr Mo
3 1 1
Direct
0.000 0.000 0.500
0.000 0.500 0.000
0.500 0.000 0.000
0.500 0.500 0.500
0.000 0.000 0.000
```

Computed properties:
* total energy: -3.238 eV per atom
* magnetic moment: 0.0 Bohr magnetons per cell
* V: 133.0 Å³/f.u.


5.
First-principles (PBE-GGA) data for an optimized crystal structure of PrCd2Cu9, as listed in Alexandria via LeMat-Bulk.

Structure (POSCAR):
```
PrCd2Cu9
1.0
-3.610 0.310 -7.689
-0.007 -8.493 -0.339
-4.566 -0.082 2.141
Cu Cd Pr
18 4 2
Direct
0.063 0.208 0.500
0.322 0.178 0.248
0.437 0.708 0.500
0.678 0.822 0.752
0.000 0.500 0.500
0.678 0.822 0.248
0.822 0.322 0.248
0.178 0.678 0.248
0.292 0.437 0.500
0.322 0.178 0.752
0.792 0.063 0.500
0.822 0.322 0.752
0.500 0.000 0.500
0.563 0.292 0.500
0.178 0.678 0.752
0.708 0.563 0.500
0.208 0.937 0.500
0.937 0.792 0.500
0.621 0.121 0.000
0.879 0.621 0.000
0.121 0.379 0.000
0.379 0.879 0.000
0.000 0.000 0.000
0.500 0.500 0.000
```

Computed properties:
* total energy: -3.725 eV per atom
* magnetic moment: 0.0 Bohr magnetons per cell
* V: 182.2 Å³/f.u.


6.
First-principles (PBE-GGA) data for an optimized crystal structure of LaSc2Cr, as listed in Alexandria via LeMat-Bulk.

Structure (POSCAR):
```
LaSc2Cr
1.0
-4.204 0.043 -0.305
0.333 -0.452 -4.650
-0.085 -4.938 0.474
Sc Cr La
2 1 1
Direct
0.500 0.500 0.000
0.000 0.000 0.000
0.500 0.000 0.500
0.000 0.500 0.500
```

Computed properties:
* total energy: -6.505 eV per atom
* magnetic moment: 2.4 Bohr magnetons per cell
* V: 98.0 Å³/f.u.
* polymorph energy (0 for the lowest one): 118 meV/atom


7.
First-principles (PBE-GGA) data for an optimized crystal structure of NaZr2PbO, as listed in Alexandria via LeMat-Bulk.

Structure (POSCAR):
```
NaZr2PbO
1.0
4.464 0.000 0.000
0.000 4.464 0.000
0.000 0.000 4.814
Zr O Na Pb
2 1 1 1
Direct
0.500 0.000 0.000
0.000 0.500 0.000
0.000 0.000 0.000
0.000 0.000 0.500
0.500 0.500 0.500
```

Computed properties:
* total energy: -6.360 eV per atom
* magnetic moment: 0.0 Bohr magnetons per cell
* V: 95.9 Å³/f.u.
* formation energy without anion corrections: -0.944 eV per atom


8.
First-principles (PBE-GGA) data for an optimized crystal structure of Ba2InHg2Au4, as listed in Alexandria via LeMat-Bulk.

Structure (POSCAR):
```
Ba2InHg2Au4
1.0
7.039 -0.013 -0.019
-3.391 6.169 0.019
-3.391 -2.149 5.782
Hg Ba Au In
2 2 4 1
Direct
0.000 0.304 0.304
0.000 0.696 0.696
0.500 0.750 0.250
0.500 0.250 0.750
0.446 0.723 0.723
0.000 0.723 0.277
0.554 0.277 0.277
0.000 0.277 0.723
0.000 0.000 0.000
```

Computed properties:
* total energy: -2.736 eV per atom
* magnetic moment: 0.0 Bohr magnetons per cell
* V: 250.6 Å³/f.u.